Material: TeMoP2Cl
Method: DFT, PBE
State: optimized geometry

The energy relative to the lowest polymorph listed for this composition is 1061 meV per atom. The calculation puts the density of states at the Fermi level at 3.5 states/eV/cell. The crystal system is tetragonal. The value obtained for the formation energy (no corrections) is 1.410 eV/atom. Its space-group type is No. 123.

a = 4.7654 Å, b = 4.7654 Å, c = 4.4817 Å
α = 90.00°, β = 90.00°, γ = 90.00°
Fractional positions:
Te: 0.0000 0.0000 0.0000
Mo: 0.5000 0.5000 0.0000
P: 0.0000 0.5000 0.5000
P: 0.5000 0.0000 0.5000
Cl: 0.5000 0.5000 0.5000

---

Material: BeTcIr
Method: DFT, PBE
State: optimized geometry

The energy relative to the lowest polymorph listed for this composition is 88 meV per atom. The calculation puts the density of states at the Fermi level at 2.7 states/eV/cell. The crystal system is monoclinic. As for the formation energy: -81 kJ/mol of formula units. Its space-group type is No. 12.

a = 4.7626 Å, b = 4.7626 Å, c = 4.9791 Å
α = 116.43°, β = 116.43°, γ = 49.70°
Fractional positions:
Be: 0.1592 0.1592 0.1304
Be: 0.8408 0.8408 0.8696
Tc: 0.4801 0.4801 0.2247
Tc: 0.5199 0.5199 0.7753
Ir: 0.1755 0.1755 0.6381
Ir: 0.8245 0.8245 0.3619

---

Material: RbMnHg2Se4
Method: DFT, PBE
State: optimized geometry

The calculation puts the density of states at the Fermi level at 3.4 states/eV/cell. The crystal system is tetragonal. The value obtained for the formation energy (no corrections) is -0.386 eV/atom. Its space-group type is No. 121.

a = 6.8151 Å, b = 6.8151 Å, c = 6.8151 Å
α = 115.45°, β = 115.45°, γ = 98.08°
Fractional positions:
Rb: 0.0000 0.0000 0.0000
Mn: 0.5000 0.5000 0.0000
Hg: 0.2500 0.7500 0.5000
Hg: 0.7500 0.2500 0.5000
Se: 0.1658 0.5560 0.0000
Se: 0.4440 0.4440 0.6098
Se: 0.5560 0.1658 0.0000
Se: 0.8342 0.8342 0.3902

---

Material: Sc2CdIrC
Method: DFT, PBE
State: optimized geometry

The calculation puts the density of states at the Fermi level at 3.4 states/eV/cell. The crystal system is tetragonal. As for the formation energy: -249 kJ/mol of formula units. Its space-group type is No. 123.

a = 4.6399 Å, b = 4.6399 Å, c = 3.9360 Å
α = 90.00°, β = 90.00°, γ = 90.00°
Fractional positions:
Sc: 0.0000 0.5000 0.0000
Sc: 0.5000 0.0000 0.0000
Cd: 0.0000 0.0000 0.5000
Ir: 0.5000 0.5000 0.5000
C: 0.5000 0.5000 0.0000

---

Material: MgIn2Cu
Method: DFT, PBE
State: optimized geometry

The calculation puts the density of states at the Fermi level at 1.2 states/eV/cell. The crystal system is trigonal. As for the formation energy: 2 kJ/mol of formula units. Its space-group type is No. 160.

a = 5.6040 Å, b = 5.6040 Å, c = 5.6040 Å
α = 47.71°, β = 47.71°, γ = 47.71°
Fractional positions:
Mg: 0.0000 0.0000 0.0000
In: 0.5665 0.5665 0.5665
In: 0.7801 0.7801 0.7801
Cu: 0.1846 0.1846 0.1846

---

Material: V2InCo2
Method: DFT, PBE
State: optimized geometry

The energy relative to the lowest polymorph listed for this composition is 0 meV per atom. The calculation puts the density of states at the Fermi level at 9.2 states/eV/cell. The crystal system is tetragonal. As for the formation energy: -15 kJ/mol of formula units. Its space-group type is No. 127.

a = 7.0098 Å, b = 7.0098 Å, c = 2.7684 Å
α = 90.00°, β = 90.00°, γ = 90.00°
Fractional positions:
V: 0.1626 0.3374 0.0000
V: 0.3374 0.8374 0.0000
V: 0.6626 0.1626 0.0000
V: 0.8374 0.6626 0.0000
In: 0.0000 0.0000 0.5000
In: 0.5000 0.5000 0.5000
Co: 0.1266 0.6266 0.5000
Co: 0.3734 0.1266 0.5000
Co: 0.6266 0.8734 0.5000
Co: 0.8734 0.3734 0.5000

---

Material: RbCdF3
Method: DFT, PBE
State: optimized geometry

The calculation puts the density of states at the Fermi level at 0.0 states/eV/cell. The crystal system is orthorhombic. The value obtained for the formation energy (no corrections) is -2.384 eV/atom. Its space-group type is No. 64.

a = 7.9925 Å, b = 7.9925 Å, c = 5.9870 Å
α = 90.00°, β = 90.00°, γ = 110.11°
Fractional positions:
Rb: 0.0990 0.4010 0.2500
Rb: 0.4010 0.0990 0.7500
Rb: 0.5990 0.9010 0.2500
Rb: 0.9010 0.5990 0.7500
Cd: 0.1195 0.8805 0.2964
Cd: 0.3805 0.6195 0.7964
Cd: 0.6195 0.3805 0.2036
Cd: 0.8805 0.1195 0.7036
F: 0.0444 0.9556 0.7071
F: 0.1260 0.3740 0.7500
F: 0.2412 0.7588 0.0197
F: 0.2588 0.7412 0.5197
F: 0.3740 0.1260 0.2500
F: 0.4556 0.5444 0.2071
F: 0.5444 0.4556 0.7929
F: 0.6260 0.8740 0.7500
F: 0.7412 0.2588 0.4803
F: 0.7588 0.2412 0.9803
F: 0.8740 0.6260 0.2500
F: 0.9556 0.0444 0.2929

---

Material: MnTe2SN
Method: DFT, PBE
State: optimized geometry

The energy relative to the lowest polymorph listed for this composition is 0 meV per atom. The calculation puts the density of states at the Fermi level at 3.7 states/eV/cell. The crystal system is tetragonal. The value obtained for the formation energy (no corrections) is 0.342 eV/atom. Its space-group type is No. 123.

a = 5.2104 Å, b = 5.2104 Å, c = 3.4632 Å
α = 90.00°, β = 90.00°, γ = 90.00°
Fractional positions:
Mn: 0.0000 0.0000 0.0000
Te: 0.0000 0.5000 0.0000
Te: 0.5000 0.0000 0.0000
S: 0.5000 0.5000 0.5000
N: 0.0000 0.0000 0.5000